Entry 1:
First-principles (GGA-PBE) data for a relaxed Na3InPd crystal, as listed in Alexandria.

Output
Space group: Pm-3m
Energy above the lowest structure with this stoichiometry (eV per formula unit): 0.00
Total energy (eV per atom): -2.216
Energy of formation from the pure elements (eV/atom): 0.161

abc: 5.406 5.406 5.406
angles: 90.00 90.00 90.00
Atoms (fractional coordinates):
In1 0.500 0.500 0.500
Na1 0.000 0.500 0.000
Na2 0.500 0.000 0.000
Na3 0.000 0.000 0.500
Pd1 0.000 0.000 0.000



Entry 2:
First-principles (GGA-PBE) data for a relaxed NaIn2Pd3 crystal, as listed in Alexandria.

Output
Space group: P6/mmm
Energy above the lowest structure with this stoichiometry (eV per formula unit): 0.00
Total energy (eV per atom): -4.143
Energy of formation from the pure elements (eV/atom): -0.414

abc: 4.358 5.817 5.817
angles: 120.00 90.00 90.00
Atoms (fractional coordinates):
Pd1 0.000 0.500 0.000
Pd2 0.000 0.000 0.500
Pd3 0.000 0.500 0.500
In1 0.500 0.667 0.333
In2 0.500 0.333 0.667
Na1 0.000 0.000 0.000



Entry 3:
First-principles (GGA-PBE) data for a relaxed Na2In3Pd crystal, as listed in Alexandria.

Output
Space group: P6_3/mmc
Total energy (eV per atom): -2.898
Energy of formation from the pure elements (eV/atom): -0.224

abc: 6.077 6.077 9.039
angles: 90.00 90.00 120.00
Atoms (fractional coordinates):
Na1 0.667 0.333 0.439
Na2 0.333 0.667 0.939
Na3 0.333 0.667 0.561
Na4 0.667 0.333 0.061
In1 0.333 0.166 0.750
In2 0.166 0.333 0.250
In3 0.667 0.834 0.250
In4 0.834 0.166 0.750
In5 0.166 0.834 0.250
In6 0.834 0.667 0.750
Pd1 0.000 0.000 0.000
Pd2 0.000 0.000 0.500



Entry 4:
First-principles (GGA-PBE) data for a relaxed Na2In12Pd crystal, as listed in Alexandria.

Output
Space group: P4/nbm
Total energy (eV per atom): -2.810
Energy of formation from the pure elements (eV/atom): -0.097

abc: 6.657 6.657 18.660
angles: 90.00 90.00 90.00
Atoms (fractional coordinates):
In1 0.327 0.827 0.430
In2 0.673 0.173 0.430
In3 0.500 0.500 0.663
In4 0.000 0.000 0.185
In5 0.750 0.750 0.917
In6 0.750 0.250 0.083
In7 0.250 0.750 0.917
In8 0.000 0.000 0.337
In9 0.250 0.750 0.083
In10 0.173 0.673 0.570
In11 0.827 0.327 0.570
In12 0.673 0.827 0.570
In13 0.500 0.500 0.815
In14 0.750 0.250 0.917
In15 0.173 0.327 0.430
In16 0.750 0.750 0.083
In17 0.000 0.000 0.663
In18 0.500 0.500 0.337
In19 0.250 0.250 0.083
In20 0.327 0.173 0.570
In21 0.250 0.250 0.917
In22 0.827 0.673 0.430
In23 0.000 0.000 0.815
In24 0.500 0.500 0.185
Pd1 0.000 0.500 0.000
Pd2 0.500 0.000 0.000
Na1 0.500 0.000 0.253
Na2 0.000 0.500 0.747
Na3 0.500 0.000 0.747
Na4 0.000 0.500 0.253



Entry 5:
First-principles (GGA-PBE) data for a relaxed Na2InPd crystal, as listed in Alexandria.

Output
Space group: C2/m
Total energy (eV per atom): -2.869
Energy of formation from the pure elements (eV/atom): -0.227

abc: 4.751 4.751 9.003
angles: 104.85 104.85 90.18
Atoms (fractional coordinates):
Pd1 0.250 0.750 0.000
Pd2 0.750 0.250 0.000
Na1 0.855 0.855 0.214
Na2 0.145 0.145 0.786
Na3 0.000 0.500 0.500
Na4 0.500 0.000 0.500
In1 0.664 0.664 0.824
In2 0.336 0.336 0.176



Entry 6:
First-principles (GGA-PBE) data for a relaxed NaIn9Pd3 crystal, as listed in Alexandria.

Output
Space group: C2/m
Total energy (eV per atom): -3.414
Energy of formation from the pure elements (eV/atom): -0.218

abc: 5.797 7.517 7.736
angles: 82.82 67.99 70.51
Atoms (fractional coordinates):
In1 0.000 0.500 0.000
In2 0.303 0.209 0.219
In3 0.336 0.668 0.643
In4 0.021 0.332 0.643
In5 0.664 0.332 0.357
In6 0.697 0.791 0.781
In7 0.478 0.791 0.219
In8 0.522 0.209 0.781
In9 0.979 0.668 0.357
Na1 0.000 0.000 0.000
Pd1 0.500 0.500 0.000
Pd2 0.500 0.000 0.500
Pd3 0.000 0.000 0.500



Entry 7:
First-principles (GGA-PBE) data for a relaxed NaIn3Pd crystal, as listed in Alexandria.

Output
Space group: Pm-3m
Energy above the lowest structure with this stoichiometry (eV per formula unit): 0.59
Total energy (eV per atom): -3.095
Energy of formation from the pure elements (eV/atom): -0.149

abc: 5.237 5.237 5.237
angles: 90.00 90.00 90.00
Atoms (fractional coordinates):
In1 0.000 0.500 0.000
In2 0.500 0.000 0.000
In3 0.000 0.000 0.500
Na1 0.500 0.500 0.500
Pd1 0.000 0.000 0.000



Entry 8:
First-principles (GGA-PBE) data for a relaxed NaIn4Pd crystal, as listed in Alexandria.

Output
Space group: P-1
Energy above the lowest structure with this stoichiometry (eV per formula unit): 0.04
Total energy (eV per atom): -3.092
Energy of formation from the pure elements (eV/atom): -0.182

abc: 6.276 7.795 7.813
angles: 112.00 113.58 90.54
Atoms (fractional coordinates):
In1 0.105 0.149 0.422
In2 0.420 0.555 0.825
In3 0.321 0.646 0.421
In4 0.597 0.948 0.177
In5 0.580 0.445 0.175
In6 0.679 0.354 0.579
In7 0.403 0.052 0.823
In8 0.895 0.851 0.578
Na1 0.981 0.249 0.997
Na2 0.019 0.751 0.003
Pd1 0.000 0.500 0.500
Pd2 0.500 0.000 0.500



Entry 9:
First-principles (GGA-PBE) data for a relaxed NaIn4PdPt2 crystal, as listed in Alexandria.

Output
Space group: R-3m
Total energy (eV per atom): -4.083
Energy of formation from the pure elements (eV/atom): -0.390

abc: 4.748 4.748 8.257
angles: 73.29 73.29 60.00
Atoms (fractional coordinates):
In1 0.130 0.130 0.610
In2 0.870 0.870 0.390
In3 0.620 0.620 0.141
In4 0.380 0.380 0.859
Pt1 0.256 0.256 0.232
Pt2 0.744 0.744 0.768
Pd1 0.500 0.500 0.500
Na1 0.000 0.000 0.000



Entry 10:
First-principles (GGA-PBE) data for a relaxed Na2In5Pd2Pt crystal, as listed in Alexandria.

Output
Space group: P4/mbm
Total energy (eV per atom): -3.596
Energy of formation from the pure elements (eV/atom): -0.320

abc: 3.352 11.474 11.474
angles: 90.00 90.00 90.00
Atoms (fractional coordinates):
In1 0.500 0.309 0.557
In2 0.500 0.191 0.057
In3 0.500 0.057 0.809
In4 0.500 0.443 0.309
In5 0.500 0.943 0.191
In6 0.500 0.557 0.691
In7 0.500 0.691 0.443
In8 0.500 0.000 0.500
In9 0.500 0.809 0.943
In10 0.500 0.500 0.000
Pt1 0.000 0.500 0.500
Pt2 0.000 0.000 0.000
Na1 0.000 0.823 0.677
Na2 0.000 0.677 0.177
Na3 0.000 0.323 0.823
Na4 0.000 0.177 0.323
Pd1 0.000 0.367 0.133
Pd2 0.000 0.867 0.367
Pd3 0.000 0.633 0.867
Pd4 0.000 0.133 0.633



Entry 11:
First-principles (GGA-PBE) data for a relaxed Rb2NaInPd crystal, as listed in Alexandria.

Output
Space group: P4/mmm
Total energy (eV per atom): -2.237
Energy of formation from the pure elements (eV/atom): 0.000

abc: 6.535 6.535 5.297
angles: 90.00 90.00 90.00
Atoms (fractional coordinates):
Rb1 0.500 0.000 0.000
Rb2 0.000 0.500 0.000
Na1 0.500 0.500 0.500
In1 0.000 0.000 0.500
Pd1 0.000 0.000 0.000



Entry 12:
First-principles (GGA-PBE) data for a relaxed Rb2NaIn12Pd3 crystal, as listed in Alexandria.

Output
Space group: R-3m
Total energy (eV per atom): -2.909
Energy of formation from the pure elements (eV/atom): -0.037

abc: 8.787 8.787 8.787
angles: 71.48 71.48 71.48
Atoms (fractional coordinates):
In1 0.859 0.859 0.371
In2 0.264 0.908 0.264
In3 0.264 0.264 0.908
In4 0.908 0.264 0.264
In5 0.629 0.141 0.141
In6 0.736 0.092 0.736
In7 0.371 0.859 0.859
In8 0.736 0.736 0.092
In9 0.092 0.736 0.736
In10 0.141 0.141 0.629
In11 0.859 0.371 0.859
In12 0.141 0.629 0.141
Pd1 0.500 0.000 0.000
Pd2 0.000 0.500 0.000
Pd3 0.000 0.000 0.500
Rb1 0.592 0.592 0.592
Rb2 0.408 0.408 0.408
Na1 0.000 0.000 0.000